Record 1
AsRuBr GGA-PBE relaxed; SG = P3m1, No. 156; formation energy from raw total energies = -0.06 eV per atom; polymorph energy (0 for the lowest one) = 0.00 eV per formula unit
1.0
3.774 0.000 0.000
-1.887 3.268 0.000
0.000 0.000 5.949
As Ru Br
1 1 1
Cartesian
0.000 0.000 0.000
0.000 2.179 5.070
1.887 1.089 3.362

Record 2
Nd4Se2S GGA-PBE relaxed; SG = P-1, No. 2; formation energy from raw total energies = -1.56 eV per atom
1.0
4.087 0.000 0.000
-0.003 7.065 0.000
-2.036 -3.466 6.906
Nd Se S
4 2 1
Cartesian
0.003 2.338 1.618
0.008 -2.351 5.254
2.040 5.950 1.652
2.045 1.260 5.288
0.002 0.048 3.534
2.046 3.550 3.372
0.000 0.000 0.000

Record 3
Tb3Tm2Pb4 GGA-PBE relaxed; SG = C2/m, No. 12; E_form = -3.793 eV per formula unit
1.0
8.116 -2.490 0.000
8.116 2.490 0.000
-1.846 0.000 6.568
Tb Tm Pb
3 2 4
Cartesian
0.000 0.000 0.000
0.786 0.000 3.866
13.599 0.000 2.701
3.631 0.000 6.139
10.754 0.000 0.429
3.408 0.000 1.974
6.631 0.000 4.708
7.754 0.000 1.860
10.977 0.000 4.593

Record 4
ZrPRhS2 GGA-PBE relaxed; SG = P4/mmm, No. 123; formation energy from raw total energies = 0.05 eV per atom; polymorph energy (0 for the lowest one) = 0.00 eV per formula unit
1.0
4.627 0.000 0.000
0.000 4.627 0.000
0.000 0.000 4.478
Zr P Rh S
1 1 1 2
Cartesian
0.000 0.000 0.000
2.314 2.314 0.000
2.314 2.314 2.239
0.000 2.314 2.239
2.314 0.000 2.239

Record 5
Pm5Pr2Er GGA-PBE relaxed; SG = Pbam, No. 55; E_form = 0.116 eV per formula unit; polymorph energy (0 for the lowest one) = 0.00 eV per formula unit
1.0
7.296 0.000 0.000
0.000 14.614 0.000
0.000 0.000 5.145
Pm Pr Er
10 4 2
Cartesian
0.000 0.000 0.000
0.012 3.670 0.000
1.816 12.798 2.573
1.832 5.491 2.573
3.636 10.977 0.000
3.648 7.307 0.000
3.660 3.637 0.000
5.464 9.123 2.573
5.480 1.816 2.573
7.284 10.944 0.000
1.811 9.121 2.573
1.837 1.814 2.573
5.459 12.800 2.573
5.485 5.493 2.573
0.000 7.307 0.000
3.648 0.000 0.000

Record 6
AgHg2As GGA-PBE relaxed; SG = Cmm2, No. 35; E_form = 0.739 eV per formula unit
1.0
2.150 -2.157 0.000
2.150 2.157 0.000
0.000 0.000 9.647
Ag Hg As
1 2 1
Cartesian
0.000 0.000 0.000
0.000 0.000 5.024
2.150 0.000 2.281
2.150 0.000 7.764